# 1
La3Tb4Sn4 after structural relaxation. Source: Alexandria, functional PBE.

Values from the calculation:
Raw total energy   -4.935 eV/atom
Formation energy   -0.452 eV/atom
Total magnetization   0.0002 μB/atom
Calculated volume   31.75 Å³ per atom
Fermi-level density of states   13.3 states/eV per cell

```
La3Tb4Sn4
1.0
-2.0653 2.5149 16.8111
2.0653 -2.5149 16.8111
2.0653 2.5149 -16.8111
La Tb Sn
3 4 4
Direct
0.0000 0.0000 0.0000
0.3548 0.8548 0.5000
0.6452 0.1452 0.5000
0.0943 0.5943 0.5000
0.2609 0.2609 0.0000
0.7391 0.7391 0.0000
0.9057 0.4057 0.5000
0.1847 0.6847 0.5000
0.4548 0.4548 0.0000
0.5452 0.5452 0.0000
0.8153 0.3153 0.5000
```

=====

# 2
RbMn after structural relaxation. Source: Alexandria, functional PBE.

Values from the calculation:
Raw total energy   -3.656 eV/atom
Formation energy   1.413 eV/atom
Total magnetization   2.1659 μB/atom
Calculated volume   50.64 Å³ per atom
Fermi-level density of states   3.1 states/eV per cell
Excess energy over the best structure of this formula in the dataset   614 meV/atom

```
RbMn
1.0
0.0000 3.6998 3.6998
3.6998 0.0000 3.6998
3.6998 3.6998 0.0000
Rb Mn
1 1
Direct
0.0000 0.0000 0.0000
0.5000 0.5000 0.5000
```

=====

# 3
NdDy8Hg2 after structural relaxation. Source: Alexandria, functional PBE.

Values from the calculation:
Raw total energy   -3.884 eV/atom
Formation energy   -0.049 eV/atom
Total magnetization   0.0000 μB/atom
Calculated volume   31.02 Å³ per atom
Fermi-level density of states   13.7 states/eV per cell

```
NdDy8Hg2
1.0
4.3993 -7.4426 0.0000
4.3993 7.4426 0.0000
-1.9479 0.0000 5.2107
Nd Dy Hg
1 8 2
Direct
0.0000 0.0000 0.0000
0.0919 0.3212 0.6084
0.2264 0.7736 0.0000
0.3212 0.0919 0.6084
0.4015 0.4015 0.2025
0.5985 0.5985 0.7975
0.6788 0.9081 0.3916
0.7736 0.2264 0.0000
0.9081 0.6788 0.3916
0.3063 0.6937 0.5000
0.6937 0.3063 0.5000
```

=====

# 4
ZnFe2Si after structural relaxation. Source: Alexandria, functional PBE.

Values from the calculation:
Raw total energy   -5.823 eV/atom
Total magnetization   0.7605 μB/atom
Calculated volume   12.32 Å³ per atom
Fermi-level density of states   4.1 states/eV per cell
ΔE_f (raw)   0.082 eV/atom

```
ZnFe2Si
1.0
1.3256 0.7653 8.0931
-1.3256 0.7653 8.0931
0.0000 -1.5307 8.0931
Zn Fe Si
1 2 1
Direct
0.0000 0.0000 0.0000
0.2466 0.2466 0.2466
0.5008 0.5008 0.5008
0.7600 0.7600 0.7600
```

=====

# 5
Ca2LaCo after structural relaxation. Source: Alexandria, functional PBE.

Values from the calculation:
Raw total energy   -3.903 eV/atom
Formation energy   0.106 eV/atom
Total magnetization   0.0000 μB/atom
Calculated volume   31.06 Å³ per atom
Fermi-level density of states   2.9 states/eV per cell
Excess energy over the best structure of this formula in the dataset   70 meV/atom

```
Ca2LaCo
1.0
-1.7354 2.1570 8.2981
1.7354 -2.1570 8.2981
1.7354 2.1570 -8.2981
Ca La Co
2 1 1
Direct
0.1633 0.1633 0.0000
0.8367 0.8367 0.0000
0.5000 0.0000 0.5000
0.0000 0.5000 0.5000
```

=====

# 6
TaTl2Sb after structural relaxation. Source: Alexandria, functional PBE.

Values from the calculation:
Raw total energy   -4.514 eV/atom
Total magnetization   0.0000 μB/atom
Calculated volume   23.76 Å³ per atom
Fermi-level density of states   2.6 states/eV per cell
Excess energy over the best structure of this formula in the dataset   404 meV/atom
ΔE_f (raw)   0.662 eV/atom

```
TaTl2Sb
1.0
3.9332 0.0000 0.0000
0.0000 3.9332 0.0000
0.0000 0.0000 6.1430
Ta Tl Sb
1 2 1
Direct
0.0000 0.0000 0.0000
0.5000 0.5000 0.2383
0.5000 0.5000 0.7617
0.0000 0.0000 0.5000
```

=====

# 7
Sm3GdCo after structural relaxation. Source: Alexandria, functional PBE.

Values from the calculation:
Raw total energy   -7.026 eV/atom
Formation energy   0.043 eV/atom
Total magnetization   1.6664 μB/atom
Calculated volume   31.17 Å³ per atom
Fermi-level density of states   8.9 states/eV per cell

```
Sm3GdCo
1.0
5.3815 0.0000 0.0000
0.0000 5.3815 0.0000
0.0000 0.0000 5.3815
Sm Gd Co
3 1 1
Direct
0.0000 0.0000 0.5000
0.0000 0.5000 0.0000
0.5000 0.0000 0.0000
0.5000 0.5000 0.5000
0.0000 0.0000 0.0000
```

=====

# 8
BeZnIn2 after structural relaxation. Source: Alexandria, functional PBE.

Values from the calculation:
Raw total energy   -2.186 eV/atom
Formation energy   0.433 eV/atom
Total magnetization   0.0000 μB/atom
Calculated volume   19.68 Å³ per atom
Fermi-level density of states   1.6 states/eV per cell

```
BeZnIn2
1.0
0.0000 3.4017 3.4017
3.4017 0.0000 3.4017
3.4017 3.4017 0.0000
Be Zn In
1 1 2
Direct
0.0000 0.0000 0.0000
0.5000 0.5000 0.5000
0.2500 0.2500 0.2500
0.7500 0.7500 0.7500
```